1.
DFT (PBE) results for a relaxed Tb2Ho6Er3Sc crystal.

Geometry as POSCAR:
```
Tb2Ho6Er3Sc
1.0
-0.8220 -0.2161 6.0050
4.3939 -3.2933 -2.5751
6.1140 9.8761 0.1748
Tb Sc Ho Er
2 1 6 3
direct
0.3334 0.6666 0.0000
0.6666 0.3334 0.0000
0.0000 0.0000 0.0000
0.0825 0.4135 0.2489
0.4135 0.0825 0.2489
0.5865 0.9175 0.7511
0.9175 0.5865 0.7511
0.2485 0.2485 0.7508
0.7515 0.7515 0.2492
0.5000 0.5000 0.5000
0.1664 0.8336 0.5000
0.8336 0.1664 0.5000
```

Results
- symmetry = C2/m (12)
- formation energy from the elements (eV/atom) = 0.027


2.
DFT (PBE) results for a relaxed CrFe2CuBi crystal.

Geometry as POSCAR:
```
CrFe2CuBi
1.0
-0.1400 2.5125 -3.6996
1.2248 -3.6972 -2.5572
-4.3147 -1.0494 -0.5494
Fe Cu Cr Bi
2 1 1 1
direct
0.0000 0.0000 0.5000
0.5000 0.0000 0.0000
0.0000 0.0000 0.0000
0.0000 0.5000 0.0000
0.5000 0.5000 0.5000
```

Results
- energy above the most stable polymorph in this dataset (meV per atom) = 0
- symmetry = P4/mmm (123)
- formation energy from the elements (eV/atom) = 0.925


| no. | DFT total energy (eV per atom) |
| --- | --- |
| 1 | -4.70 |
| 2 | -5.98 |